The following is a DFT calculation (PBE+U) of a relaxed structure of LiMoF2.

SG: No. 166
calculated density: 5.35 g cm⁻³
polymorph energy (0 for the lowest one): 0.0 meV per atom

```
LiMoF2
1.0
1.3970 0.8066 6.4647
-1.3970 0.8066 6.4647
0.0000 -1.6131 6.4647
Li Mo F
1 1 2
Direct
0.0000 0.0000 0.0000
0.5000 0.5000 0.5000
0.3921 0.3921 0.3921
0.6079 0.6079 0.6079
```